Dy3Ho4Tl4: relaxed, PBE-GGA.

a = 3.6824 Å, b = 9.5106 Å, c = 10.5701 Å
α = 116.74°, β = 100.03°, γ = 90.00°
Last column: magnetic moment on the atom in μB.
Atoms (fractional coordinates):
Dy  0.9023  0.9023  0.8046  0.06
Ho  0.3361  0.5274  0.6722  0.10
Ho  0.6639  0.4726  0.3278  0.10
Tl  0.5000  0.2206  0.0000  0.00
Dy  0.0977  0.0977  0.1954  0.06
Ho  0.3361  0.1449  0.6722  0.10
Ho  0.6639  0.8551  0.3278  0.10
Tl  0.5000  0.7794  0.0000  0.00
Tl  0.7341  0.2341  0.4682  0.00
Dy  0.0000  0.5000  0.0000  0.04
Tl  0.2659  0.7659  0.5318  0.00

The calculation puts the size of the total moment at 0.83 Bohr magnetons per cell. Its volume is 29.478 Å³/atom. For the energy relative to the elements, the calculation gives -0.2170 eV/atom.